First-principles (PBE) data for crystalline BaAg6As2 at its relaxed geometry, as listed in the Alexandria database.

Lattice parameters (Å, degrees): 4.4213 4.4213 9.9083 90.00 90.00 90.00
Fractional positions:
Ba 0.0000 0.0000 0.0000
Ag 0.0000 0.0000 0.5000
Ag 0.0000 0.5000 0.3063
Ag 0.0000 0.5000 0.6937
Ag 0.5000 0.0000 0.3063
Ag 0.5000 0.0000 0.6937
Ag 0.5000 0.5000 0.5000
As 0.5000 0.5000 0.1495
As 0.5000 0.5000 0.8505

Results
**DOS at the Fermi energy**: 2.600 states/eV/f.u.
**Symmetry**: P4/mmm, No. 123
**VASP energy**: -3.394 eV per atom
**Energy of formation**: -0.246 eV/atom